This record from Alexandria describes an optimized crystal structure of PmLuZn2. The functional is PBE-GGA.

Lattice parameters (Å, degrees): 3.537 3.537 7.318 90.00 90.00 90.00
Fractional coordinates of all 4 atoms:
Pm  0.500  0.500  0.500
Zn  0.000  0.000  0.226
Zn  0.000  0.000  0.774
Lu  0.500  0.500  0.000

- Final energy: -13.13 eV for the cell shown
- Total magnetization: 0.00 μB per formula unit



This record from Alexandria describes an optimized crystal structure of Pm2LuZn. The functional is PBE-GGA.

Lattice parameters (Å, degrees): 3.473 3.473 12.098 81.75 81.75 60.00
Fractional coordinates of all 4 atoms:
Lu  0.500  0.500  0.500
Pm  0.912  0.912  0.263
Pm  0.088  0.088  0.737
Zn  0.000  0.000  0.000

- Final energy: -14.32 eV for the cell shown
- Total magnetization: 0.00 μB per formula unit



This record from Alexandria describes an optimized crystal structure of PmLu2Zn. The functional is PBE-GGA.

Lattice parameters (Å, degrees): 3.502 3.502 8.687 90.00 90.00 90.00
Fractional coordinates of all 4 atoms:
Lu  0.000  0.000  0.799
Lu  0.000  0.000  0.201
Pm  0.500  0.500  0.500
Zn  0.500  0.500  0.000

- Final energy: -15.74 eV for the cell shown
- Total magnetization: 0.00 μB per formula unit



This record from Alexandria describes an optimized crystal structure of PmLuZn2. The functional is PBE-GGA.

Lattice parameters (Å, degrees): 5.067 5.067 5.067 60.00 60.00 60.00
Fractional coordinates of all 4 atoms:
Zn  0.500  0.500  0.500
Zn  0.000  0.000  0.000
Pm  0.250  0.250  0.250
Lu  0.750  0.750  0.750

- Final energy: -13.12 eV for the cell shown
- Total magnetization: 0.00 μB per formula unit



This record from Alexandria describes an optimized crystal structure of Pm2LuZn. The functional is PBE-GGA.

Lattice parameters (Å, degrees): 3.631 3.631 8.589 90.00 90.00 90.00
Fractional coordinates of all 4 atoms:
Pm  0.000  0.000  0.213
Pm  0.000  0.000  0.787
Lu  0.500  0.500  0.500
Zn  0.500  0.500  0.000

- Final energy: -15.84 eV for the cell shown
- Total magnetization: 0.00 μB per formula unit



This record from Alexandria describes an optimized crystal structure of PmLu2Zn. The functional is PBE-GGA.

Lattice parameters (Å, degrees): 4.744 4.706 4.706 90.00 90.00 90.00
Fractional coordinates of all 4 atoms:
Lu  0.000  0.500  0.000
Lu  0.000  0.000  0.500
Pm  0.500  0.000  0.000
Zn  0.500  0.500  0.500

- Final energy: -15.18 eV for the cell shown
- Total magnetization: 0.01 μB per formula unit



Number 1: calculated formation energy -0.3264 eV/atom, theoretical density 8.18 g/cm³. Number 2: calculated formation energy 0.2430 eV/atom, theoretical density 7.07 g/cm³. Number 3: calculated formation energy -0.1695 eV/atom, theoretical density 8.74 g/cm³. Number 4: calculated formation energy -0.3242 eV/atom, theoretical density 8.14 g/cm³. Number 5: calculated formation energy -0.1349 eV/atom, theoretical density 7.78 g/cm³. Number 6: calculated formation energy -0.0277 eV/atom, theoretical density 8.86 g/cm³.